# 1
Computed, not measured: crystalline Nd2MoH6 at its relaxed geometry at the PBE level of DFT.

abc: 5.243 5.243 5.243
angles: 60.00 60.00 60.00
Fractional positions:
Nd: 0.250 0.250 0.250
Nd: 0.750 0.750 0.750
Mo: 0.000 0.000 0.000
H: 0.251 0.749 0.749
H: 0.251 0.749 0.251
H: 0.749 0.251 0.749
H: 0.749 0.251 0.251
H: 0.749 0.749 0.251
H: 0.251 0.251 0.749

Output
Space-group type: Fm-3m, No. 225
Uncorrected energy in eV per atom: -4.97
Calculated density in g/cm³: 6.36
Crystal system: cubic


# 2
Computed, not measured: crystalline NiMoH at its relaxed geometry at the PBE level of DFT.

abc: 4.433 2.750 2.750
angles: 120.00 90.00 90.00
Fractional positions:
Ni: 0.577 0.667 0.333
Mo: 0.060 0.000 0.000
H: 0.362 0.333 0.667

Output
Space-group type: P3m1, No. 156
Uncorrected energy in eV per atom: -6.61
Calculated density in g/cm³: 8.90
Energy above the lowest structure with this stoichiometry in meV per atom: 85
Crystal system: trigonal


# 3
Computed, not measured: crystalline NiMo3H4 at its relaxed geometry at the PBE level of DFT.

abc: 4.052 4.052 4.052
angles: 90.00 90.00 90.00
Fractional positions:
Ni: 0.000 0.000 0.000
Mo: 0.000 0.500 0.500
Mo: 0.500 0.000 0.500
Mo: 0.500 0.500 0.000
H: 0.500 0.000 0.000
H: 0.000 0.500 0.000
H: 0.000 0.000 0.500
H: 0.500 0.500 0.500

Output
Space-group type: Pm-3m, No. 221
Uncorrected energy in eV per atom: -6.43
Calculated density in g/cm³: 8.75
Crystal system: cubic